Record 1
Entry from Alexandria: a relaxed structure of ErTmTeO2 (PBE-GGA).

Computed properties:
Crystal system   monoclinic
Total magnetic moment   0.00 μB/f.u.
Space-group type   P2_1/m

```
data_ErTmTeO2
_chemical_formula_sum 'Er2 Tm2 Te2 O4'
_cell_length_a 6.720
_cell_length_b 4.033
_cell_length_c 7.642
_cell_angle_alpha 90.00
_cell_angle_beta 106.43
_cell_angle_gamma 90.00
_symmetry_space_group_name_H-M 'P 1'
_symmetry_Int_Tables_number 1
_symmetry_space_group_name_Hall 'P 1'
loop_
_atom_site_label
_atom_site_fract_x
_atom_site_fract_y
_atom_site_fract_z
_atom_site_occupancy
Er1 0.167 0.250 0.422 1
Er2 0.833 0.750 0.578 1
Tm1 0.160 0.250 0.911 1
Tm2 0.840 0.750 0.089 1
Te1 0.454 0.750 0.741 1
Te2 0.546 0.250 0.259 1
O1 0.008 0.750 0.880 1
O2 0.020 0.750 0.377 1
O3 0.980 0.250 0.623 1
O4 0.992 0.250 0.120 1
```



Record 2
Entry from Alexandria: a relaxed structure of ErUTe2O (PBE-GGA).

Computed properties:
Crystal system   tetragonal
Total magnetic moment   2.43 μB/f.u.
Space-group type   P4/nmm

```
data_ErUTe2O
_chemical_formula_sum 'Er2 U2 Te4 O2'
_cell_length_a 4.137
_cell_length_b 4.137
_cell_length_c 14.544
_cell_angle_alpha 90.00
_cell_angle_beta 90.00
_cell_angle_gamma 90.00
_symmetry_space_group_name_H-M 'P 1'
_symmetry_Int_Tables_number 1
_symmetry_space_group_name_Hall 'P 1'
loop_
_atom_site_label
_atom_site_fract_x
_atom_site_fract_y
_atom_site_fract_z
_atom_site_occupancy
Er1 0.250 0.250 0.092 1
Er2 0.750 0.750 0.908 1
U1 0.250 0.250 0.577 1
U2 0.750 0.750 0.423 1
Te1 0.250 0.250 0.310 1
Te2 0.250 0.250 0.878 1
Te3 0.750 0.750 0.122 1
Te4 0.750 0.750 0.690 1
O1 0.250 0.750 0.500 1
O2 0.750 0.250 0.500 1
```



Record 3
Entry from Alexandria: a relaxed structure of YErTeO2 (PBE-GGA).

Computed properties:
Crystal system   monoclinic
Total magnetic moment   0.00 μB/f.u.
Space-group type   P2_1/m

```
data_YErTeO2
_chemical_formula_sum 'Y2 Er2 Te2 O4'
_cell_length_a 6.774
_cell_length_b 4.068
_cell_length_c 7.720
_cell_angle_alpha 90.00
_cell_angle_beta 106.61
_cell_angle_gamma 90.00
_symmetry_space_group_name_H-M 'P 1'
_symmetry_Int_Tables_number 1
_symmetry_space_group_name_Hall 'P 1'
loop_
_atom_site_label
_atom_site_fract_x
_atom_site_fract_y
_atom_site_fract_z
_atom_site_occupancy
Y1 0.170 0.250 0.423 1
Y2 0.830 0.750 0.577 1
Er1 0.159 0.250 0.911 1
Er2 0.841 0.750 0.089 1
Te1 0.453 0.750 0.742 1
Te2 0.547 0.250 0.258 1
O1 0.009 0.750 0.881 1
O2 0.020 0.750 0.376 1
O3 0.980 0.250 0.624 1
O4 0.991 0.250 0.119 1
```



Record 4
Entry from Alexandria: a relaxed structure of ErZnTeO6 (PBE-GGA).

Computed properties:
Crystal system   trigonal
Total magnetic moment   1.10 μB/f.u.
Space-group type   P-31c

```
data_ErZnTeO6
_chemical_formula_sum 'Er2 Zn2 Te2 O12'
_cell_length_a 5.223
_cell_length_b 5.223
_cell_length_c 9.723
_cell_angle_alpha 90.00
_cell_angle_beta 90.00
_cell_angle_gamma 120.00
_symmetry_space_group_name_H-M 'P 1'
_symmetry_Int_Tables_number 1
_symmetry_space_group_name_Hall 'P 1'
loop_
_atom_site_label
_atom_site_fract_x
_atom_site_fract_y
_atom_site_fract_z
_atom_site_occupancy
Er1 0.000 0.000 0.000 1
Er2 0.000 0.000 0.500 1
Zn1 0.333 0.667 0.250 1
Zn2 0.667 0.333 0.750 1
Te1 0.333 0.667 0.750 1
Te2 0.667 0.333 0.250 1
O1 0.021 0.366 0.637 1
O2 0.021 0.655 0.863 1
O3 0.345 0.366 0.863 1
O4 0.345 0.979 0.637 1
O5 0.366 0.021 0.137 1
O6 0.366 0.345 0.363 1
O7 0.634 0.655 0.637 1
O8 0.634 0.979 0.863 1
O9 0.655 0.021 0.363 1
O10 0.655 0.634 0.137 1
O11 0.979 0.345 0.137 1
O12 0.979 0.634 0.363 1
```



Number 1: formation energy from raw total energies -2.998 eV per atom. Number 2: formation energy from raw total energies -1.750 eV per atom. Number 3: formation energy from raw total energies -2.969 eV per atom. Number 4: formation energy from raw total energies -1.714 eV per atom.